(1)
This record from Alexandria describes crystalline CsRbZr2Ir at its relaxed geometry. The functional is GGA-PBEsol.

Structure (CIF):
```
data_CsRbZr2Ir
_chemical_formula_sum 'Cs1 Rb1 Zr2 Ir1'
_space_group_name_H-M_alt 'P 1'
_space_group_IT_number 1
_cell_length_a 5.052
_cell_length_b 5.052
_cell_length_c 6.818
_cell_angle_alpha 90.00
_cell_angle_beta 90.00
_cell_angle_gamma 90.00
loop_
_space_group_symop_operation_xyz
'x,y,z'
loop_
_atom_site_label
_atom_site_type_symbol
_atom_site_fract_x
_atom_site_fract_y
_atom_site_fract_z
_atom_site_occupancy
Cs1 Cs 0.500 0.500 0.500 1
Ir1 Ir 0.000 0.000 0.000 1
Rb1 Rb 0.000 0.000 0.500 1
Zr1 Zr 0.000 0.500 0.000 1
Zr2 Zr 0.500 0.000 0.000 1
```

Calculated values
- Calculated density: 5.7 g/cm3
- Space-group type: No. 123
- E_form: 269 kJ/mol of formula units

***

(2)
This record from Alexandria describes crystalline CsSb2Ir at its relaxed geometry. The functional is GGA-PBEsol.

Structure (CIF):
```
data_CsSb2Ir
_chemical_formula_sum 'Cs2 Sb4 Ir2'
_space_group_name_H-M_alt 'P 1'
_space_group_IT_number 1
_cell_length_a 7.164
_cell_length_b 7.164
_cell_length_c 7.164
_cell_angle_alpha 105.70
_cell_angle_beta 111.39
_cell_angle_gamma 111.39
loop_
_space_group_symop_operation_xyz
'x,y,z'
loop_
_atom_site_label
_atom_site_type_symbol
_atom_site_fract_x
_atom_site_fract_y
_atom_site_fract_z
_atom_site_occupancy
Cs1 Cs 0.000 0.500 0.500 1
Cs2 Cs 0.500 0.250 0.750 1
Sb1 Sb 0.120 0.745 0.125 1
Sb2 Sb 0.880 0.005 0.625 1
Sb3 Sb 0.380 0.375 0.255 1
Sb4 Sb 0.620 0.875 0.995 1
Ir1 Ir 0.000 0.000 0.000 1
Ir2 Ir 0.500 0.750 0.250 1
```

Calculated values
- Calculated density: 6.7 g/cm3
- Formation energy from raw total energies: 0.034 eV per atom
- Space-group type: No. 122

***

(3)
This record from Alexandria describes crystalline CsSbTe2Ir at its relaxed geometry. The functional is GGA-PBEsol.

Structure (CIF):
```
data_CsSbTe2Ir
_chemical_formula_sum 'Cs1 Sb1 Te2 Ir1'
_space_group_name_H-M_alt 'P 1'
_space_group_IT_number 1
_cell_length_a 4.977
_cell_length_b 5.595
_cell_length_c 5.595
_cell_angle_alpha 90.00
_cell_angle_beta 90.00
_cell_angle_gamma 90.00
loop_
_space_group_symop_operation_xyz
'x,y,z'
loop_
_atom_site_label
_atom_site_type_symbol
_atom_site_fract_x
_atom_site_fract_y
_atom_site_fract_z
_atom_site_occupancy
Cs1 Cs 0.500 0.500 0.500 1
Sb1 Sb 0.500 0.000 0.000 1
Ir1 Ir 0.000 0.000 0.000 1
Te1 Te 0.000 0.000 0.500 1
Te2 Te 0.000 0.500 0.000 1
```

Calculated values
- Calculated density: 7.5 g/cm3
- Formation energy from raw total energies: 0.035 eV per atom
- Space-group type: No. 123

***

(4)
This record from Alexandria describes crystalline CsSbTe2Ir at its relaxed geometry. The functional is GGA-PBEsol.

Structure (CIF):
```
data_CsSbTe2Ir
_chemical_formula_sum 'Cs1 Sb1 Te2 Ir1'
_space_group_name_H-M_alt 'P 1'
_space_group_IT_number 1
_cell_length_a 6.097
_cell_length_b 5.903
_cell_length_c 5.903
_cell_angle_alpha 90.00
_cell_angle_beta 90.00
_cell_angle_gamma 90.00
loop_
_space_group_symop_operation_xyz
'x,y,z'
loop_
_atom_site_label
_atom_site_type_symbol
_atom_site_fract_x
_atom_site_fract_y
_atom_site_fract_z
_atom_site_occupancy
Cs1 Cs 0.000 0.000 0.000 1
Sb1 Sb 0.500 0.000 0.000 1
Ir1 Ir 0.500 0.500 0.500 1
Te1 Te 0.000 0.000 0.500 1
Te2 Te 0.000 0.500 0.000 1
```

Calculated values
- Calculated density: 5.5 g/cm3
- Formation energy from raw total energies: 2.477 eV per atom
- Space-group type: No. 123

***

(5)
This record from Alexandria describes crystalline CsIrSe2 at its relaxed geometry. The functional is GGA-PBEsol.

Structure (CIF):
```
data_CsIrSe2
_chemical_formula_sum 'Cs1 Ir1 Se2'
_space_group_name_H-M_alt 'P 1'
_space_group_IT_number 1
_cell_length_a 3.873
_cell_length_b 3.873
_cell_length_c 9.229
_cell_angle_alpha 77.89
_cell_angle_beta 77.89
_cell_angle_gamma 60.00
loop_
_space_group_symop_operation_xyz
'x,y,z'
loop_
_atom_site_label
_atom_site_type_symbol
_atom_site_fract_x
_atom_site_fract_y
_atom_site_fract_z
_atom_site_occupancy
Cs1 Cs 0.000 0.000 0.000 1
Ir1 Ir 0.500 0.500 0.500 1
Se1 Se 0.876 0.876 0.371 1
Se2 Se 0.124 0.124 0.629 1
```

Calculated values
- Calculated density: 6.9 g/cm3
- Formation energy from raw total energies: -0.303 eV per atom
- Space-group type: No. 166

***

(6)
This record from Alexandria describes crystalline CsTcIr3 at its relaxed geometry. The functional is GGA-PBEsol.

Structure (CIF):
```
data_CsTcIr3
_chemical_formula_sum 'Cs1 Tc1 Ir3'
_space_group_name_H-M_alt 'P 1'
_space_group_IT_number 1
_cell_length_a 4.784
_cell_length_b 4.784
_cell_length_c 4.784
_cell_angle_alpha 90.00
_cell_angle_beta 90.00
_cell_angle_gamma 90.00
loop_
_space_group_symop_operation_xyz
'x,y,z'
loop_
_atom_site_label
_atom_site_type_symbol
_atom_site_fract_x
_atom_site_fract_y
_atom_site_fract_z
_atom_site_occupancy
Cs1 Cs 0.500 0.500 0.500 1
Ir1 Ir 0.000 0.500 0.000 1
Ir2 Ir 0.000 0.000 0.500 1
Ir3 Ir 0.500 0.000 0.000 1
Tc1 Tc 0.000 0.000 0.000 1
```

Calculated values
- Calculated density: 12.2 g/cm3
- Space-group type: No. 221
- E_form: 765 kJ/mol of formula units

***

no.,size of the total moment (Bohr magnetons per cell)
1,0.71
2,0.00
3,0.00
4,2.88
5,0.00
6,0.00